No. 1
## Er6AuS5 (PBE-GGA)

Data for an optimized crystal structure of Er6AuS5.

Cell lengths 6.7937, 6.7937, 6.7746 Å; angles 99.62, 99.62, 120.09 degrees
Sites, in units of the cell vectors:
Er 0.0747 0.4172 0.7473
Er 0.2439 0.2439 0.2545
Er 0.4172 0.0747 0.7473
Er 0.5828 0.9253 0.2527
Er 0.7561 0.7561 0.7455
Er 0.9253 0.5828 0.2527
Au 0.5000 0.5000 0.0000
S 0.0000 0.0000 0.5000
S 0.1655 0.8345 0.0000
S 0.3330 0.6670 0.5000
S 0.6670 0.3330 0.5000
S 0.8345 0.1655 0.0000

## Properties
The total magnetic moment comes out at 0.0 Bohr magnetons per cell. The calculation puts the calculated total energy at -72.4 eV per formula unit. The value obtained for the raw formation energy is -2040.3 kJ/mol of formula units.


No. 2
## Er6Au2S (PBE-GGA)

Data for an optimized crystal structure of Er6Au2S.

Cell lengths 6.4915, 7.2247, 11.7171 Å; angles 90.00, 120.93, 90.00 degrees
Sites, in units of the cell vectors:
Er 0.1038 0.1955 0.4386
Er 0.1038 0.3045 0.9386
Er 0.2649 0.6716 0.4347
Er 0.2649 0.8284 0.9347
Er 0.3885 0.0293 0.2447
Er 0.3885 0.4707 0.7447
Er 0.6115 0.5293 0.2553
Er 0.6115 0.9707 0.7553
Er 0.7351 0.1716 0.0653
Er 0.7351 0.3284 0.5653
Er 0.8962 0.6955 0.0614
Er 0.8962 0.8045 0.5614
Au 0.1749 0.1106 0.7375
Au 0.1749 0.3894 0.2375
Au 0.8251 0.6106 0.7625
Au 0.8251 0.8894 0.2625
S 0.5000 0.0000 0.5000
S 0.5000 0.5000 0.0000

## Properties
The total magnetic moment comes out at 0.0 Bohr magnetons per cell. The calculation puts the calculated total energy at -45.6 eV per formula unit. The value obtained for the raw formation energy is -728.4 kJ/mol of formula units.


No. 3
## Er3AuS2 (PBE-GGA)

Data for an optimized crystal structure of Er3AuS2.

Cell lengths 6.7907, 6.7907, 10.3303 Å; angles 90.00, 90.00, 143.82 degrees
Sites, in units of the cell vectors:
Er 0.1018 0.8982 0.7500
Er 0.3561 0.6439 0.5564
Er 0.3561 0.6439 0.9436
Er 0.6439 0.3561 0.0564
Er 0.6439 0.3561 0.4436
Er 0.8982 0.1018 0.2500
Au 0.2442 0.7558 0.2500
Au 0.7558 0.2442 0.7500
S 0.0000 0.0000 0.0000
S 0.0000 0.0000 0.5000
S 0.4854 0.5147 0.7500
S 0.5147 0.4854 0.2500

## Properties
The total magnetic moment comes out at 0.0 Bohr magnetons per cell. The calculation puts the calculated total energy at -33.2 eV per formula unit. The value obtained for the raw formation energy is -774.2 kJ/mol of formula units.


No. 4
## Er4AuS3 (PBE-GGA)

Data for an optimized crystal structure of Er4AuS3.

Cell lengths 6.9082, 6.9082, 3.8487 Å; angles 90.00, 90.00, 108.50 degrees
Sites, in units of the cell vectors:
Er 0.2427 0.2427 0.5000
Er 0.2457 0.7543 0.0000
Er 0.7543 0.2457 0.0000
Er 0.7573 0.7573 0.5000
Au 0.5000 0.5000 0.0000
S 0.0000 0.0000 0.0000
S 0.0000 0.5000 0.5000
S 0.5000 0.0000 0.5000

## Properties
The total magnetic moment comes out at 0.0 Bohr magnetons per cell. The calculation puts the calculated total energy at -47.0 eV per formula unit. The value obtained for the raw formation energy is -1263.0 kJ/mol of formula units.


No. 5
## Er3AuS (PBE-GGA)

Data for an optimized crystal structure of Er3AuS.

Cell lengths 8.7703, 3.7865, 14.6368 Å; angles 90.00, 90.00, 90.00 degrees
Sites, in units of the cell vectors:
Er 0.0139 0.2500 0.1094
Er 0.1588 0.2500 0.5479
Er 0.1823 0.7500 0.2881
Er 0.3177 0.2500 0.7881
Er 0.3412 0.7500 0.0479
Er 0.4861 0.7500 0.6094
Er 0.5139 0.2500 0.3906
Er 0.6587 0.2500 0.9521
Er 0.6823 0.7500 0.2119
Er 0.8177 0.2500 0.7119
Er 0.8412 0.7500 0.4521
Er 0.9861 0.7500 0.8906
Au 0.0899 0.7500 0.6940
Au 0.4101 0.2500 0.1940
Au 0.5899 0.7500 0.8060
Au 0.9101 0.2500 0.3060
S 0.1801 0.2500 0.9535
S 0.3199 0.7500 0.4535
S 0.6801 0.2500 0.5465
S 0.8199 0.7500 0.0465

## Properties
The total magnetic moment comes out at 0.0 Bohr magnetons per cell. The calculation puts the calculated total energy at -26.9 eV per formula unit. The value obtained for the raw formation energy is -560.2 kJ/mol of formula units.


No. 6
## Er4AuS5 (PBE-GGA)

Data for an optimized crystal structure of Er4AuS5.

Cell lengths 8.7314, 8.7314, 8.5467 Å; angles 107.10, 107.10, 25.59 degrees
Sites, in units of the cell vectors:
Er 0.0040 0.0040 0.2811
Er 0.3150 0.3150 0.8799
Er 0.6850 0.6850 0.1201
Er 0.9960 0.9960 0.7189
Au 0.5000 0.5000 0.0000
S 0.1594 0.1594 0.8786
S 0.1607 0.1607 0.3104
S 0.5000 0.5000 0.5000
S 0.8393 0.8393 0.6896
S 0.8406 0.8406 0.1214

## Properties
The total magnetic moment comes out at 0.0 Bohr magnetons per cell. The calculation puts the calculated total energy at -59.0 eV per formula unit. The value obtained for the raw formation energy is -1628.7 kJ/mol of formula units.


No. 7
## Er4AuSeS2 (PBE-GGA)

Data for an optimized crystal structure of Er4AuSeS2.

Cell lengths 6.9333, 3.8725, 7.0307 Å; angles 90.00, 108.12, 90.00 degrees
Sites, in units of the cell vectors:
Er 0.2432 0.0000 0.2344
Er 0.2522 0.5000 0.7618
Er 0.7478 0.5000 0.2382
Er 0.7568 0.0000 0.7656
Au 0.0000 0.0000 0.5000
Se 0.5000 0.5000 0.5000
S 0.0000 0.5000 0.0000
S 0.5000 0.0000 0.0000

## Properties
The total magnetic moment comes out at 0.0 Bohr magnetons per cell. The calculation puts the calculated total energy at -46.0 eV per formula unit. The value obtained for the raw formation energy is -1224.6 kJ/mol of formula units.


No. 8
## Er8Te4Au3S (PBE-GGA)

Data for an optimized crystal structure of Er8Te4Au3S.

Cell lengths 8.6025, 8.6025, 8.6025 Å; angles 57.87, 57.87, 57.87 degrees
Sites, in units of the cell vectors:
Er 0.2404 0.2404 0.2404
Er 0.2434 0.7394 0.7394
Er 0.2606 0.2606 0.7566
Er 0.2606 0.7566 0.2606
Er 0.7394 0.2434 0.7394
Er 0.7394 0.7394 0.2434
Er 0.7566 0.2606 0.2606
Er 0.7596 0.7596 0.7596
Te 0.0000 0.0000 0.0000
Te 0.0000 0.5000 0.5000
Te 0.5000 0.0000 0.5000
Te 0.5000 0.5000 0.0000
Au 0.0000 0.0000 0.5000
Au 0.0000 0.5000 0.0000
Au 0.5000 0.0000 0.0000
S 0.5000 0.5000 0.5000

## Properties
The total magnetic moment comes out at 0.0 Bohr magnetons per cell. The calculation puts the calculated total energy at -81.5 eV per formula unit. The value obtained for the raw formation energy is -1786.7 kJ/mol of formula units.


No. 9
## Er4Te2AuS (PBE-GGA)

Data for an optimized crystal structure of Er4Te2AuS.

Cell lengths 7.3376, 4.0554, 7.3651 Å; angles 90.00, 108.21, 90.00 degrees
Sites, in units of the cell vectors:
Er 0.2329 0.0000 0.2156
Er 0.2603 0.5000 0.7803
Er 0.7397 0.5000 0.2197
Er 0.7671 0.0000 0.7844
Te 0.0000 0.0000 0.5000
Te 0.5000 0.5000 0.5000
Au 0.5000 0.0000 0.0000
S 0.0000 0.5000 0.0000

## Properties
The total magnetic moment comes out at 0.0 Bohr magnetons per cell. The calculation puts the calculated total energy at -42.4 eV per formula unit. The value obtained for the raw formation energy is -1011.9 kJ/mol of formula units.


No. 10
## Er8Te4AuS3 (PBE-GGA)

Data for an optimized crystal structure of Er8Te4AuS3.

Cell lengths 8.3752, 8.3752, 8.3752 Å; angles 58.70, 58.70, 58.70 degrees
Sites, in units of the cell vectors:
Er 0.2322 0.7404 0.7404
Er 0.2342 0.2342 0.2342
Er 0.2596 0.2596 0.7678
Er 0.2596 0.7678 0.2596
Er 0.7404 0.2322 0.7404
Er 0.7404 0.7404 0.2322
Er 0.7658 0.7658 0.7658
Er 0.7678 0.2596 0.2596
Te 0.0000 0.0000 0.0000
Te 0.0000 0.5000 0.5000
Te 0.5000 0.0000 0.5000
Te 0.5000 0.5000 0.0000
Au 0.5000 0.5000 0.5000
S 0.0000 0.0000 0.5000
S 0.0000 0.5000 0.0000
S 0.5000 0.0000 0.0000

## Properties
The total magnetic moment comes out at 0.0 Bohr magnetons per cell. The calculation puts the calculated total energy at -88.0 eV per formula unit. The value obtained for the raw formation energy is -2246.8 kJ/mol of formula units.


No. 11
## ErTlAuS2 (PBE-GGA)

Data for an optimized crystal structure of ErTlAuS2.

Cell lengths 6.8636, 5.5102, 7.3379 Å; angles 90.00, 105.07, 90.00 degrees
Sites, in units of the cell vectors:
Er 0.0000 0.0009 0.2500
Er 0.0000 0.9991 0.7500
Tl 0.5000 0.3082 0.2500
Tl 0.5000 0.6918 0.7500
Au 0.0000 0.5000 0.0000
Au 0.0000 0.5000 0.5000
S 0.2468 0.1791 0.5608
S 0.2468 0.8209 0.0608
S 0.7532 0.1791 0.9392
S 0.7532 0.8209 0.4392

## Properties
The total magnetic moment comes out at 0.0 Bohr magnetons per cell. The calculation puts the calculated total energy at -22.8 eV per formula unit. The value obtained for the raw formation energy is -417.2 kJ/mol of formula units.


No. 12
## Er5Sb2Au (PBE-GGA)

Data for an optimized crystal structure of Er5Sb2Au.

Cell lengths 6.6409, 6.6409, 13.9209 Å; angles 90.00, 90.00, 128.34 degrees
Sites, in units of the cell vectors:
Er 0.0628 0.9372 0.6062
Er 0.0628 0.9372 0.8938
Er 0.3585 0.6415 0.2500
Er 0.3805 0.6195 0.5659
Er 0.3805 0.6195 0.9341
Er 0.6195 0.3805 0.0659
Er 0.6195 0.3805 0.4341
Er 0.6415 0.3585 0.7500
Er 0.9372 0.0628 0.1062
Er 0.9372 0.0628 0.3938
Sb 0.1941 0.8059 0.0896
Sb 0.1941 0.8059 0.4104
Sb 0.8059 0.1941 0.5896
Sb 0.8059 0.1941 0.9104
Au 0.2382 0.7618 0.7500
Au 0.7618 0.2382 0.2500

## Properties
The total magnetic moment comes out at 0.0 Bohr magnetons per cell. The calculation puts the calculated total energy at -38.0 eV per formula unit. The value obtained for the raw formation energy is -355.7 kJ/mol of formula units.


Among the records above, which one has the lowest calculated total energy?
Er8Te4AuS3


Copy entry 10 word for word.
## Er8Te4AuS3 (PBE-GGA)

Data for an optimized crystal structure of Er8Te4AuS3.

Cell lengths 8.3752, 8.3752, 8.3752 Å; angles 58.70, 58.70, 58.70 degrees
Sites, in units of the cell vectors:
Er 0.2322 0.7404 0.7404
Er 0.2342 0.2342 0.2342
Er 0.2596 0.2596 0.7678
Er 0.2596 0.7678 0.2596
Er 0.7404 0.2322 0.7404
Er 0.7404 0.7404 0.2322
Er 0.7658 0.7658 0.7658
Er 0.7678 0.2596 0.2596
Te 0.0000 0.0000 0.0000
Te 0.0000 0.5000 0.5000
Te 0.5000 0.0000 0.5000
Te 0.5000 0.5000 0.0000
Au 0.5000 0.5000 0.5000
S 0.0000 0.0000 0.5000
S 0.0000 0.5000 0.0000
S 0.5000 0.0000 0.0000

## Properties
The total magnetic moment comes out at 0.0 Bohr magnetons per cell. The calculation puts the calculated total energy at -88.0 eV per formula unit. The value obtained for the raw formation energy is -2246.8 kJ/mol of formula units.